1.
# Tc2PbAuC PBE-GGA optimized geometry
data_Tc2PbAuC
_chemical_formula_sum 'Tc2 Pb1 Au1 C1'
_space_group_name_H-M_alt 'P 4/m m m'
_space_group_IT_number 123
_space_group_name_Hall '-P 4 2'
_cell_length_a 5.3064
_cell_length_b 5.3064
_cell_length_c 3.7879
_cell_angle_alpha 90.00
_cell_angle_beta 90.00
_cell_angle_gamma 90.00
loop_
_atom_site_label
_atom_site_type_symbol
_atom_site_fract_x
_atom_site_fract_y
_atom_site_fract_z
Tc1 Tc 0.0000 0.5000 0.0000
Pb1 Pb 0.0000 0.0000 0.5000
Au1 Au 0.5000 0.5000 0.0000
C1 C 0.5000 0.5000 0.5000
# **Size of the total moment**: 6.245 μB per cell
# **Formation energy**: 1.9282 eV per atom

***

2.
# YScInRu PBE-GGA optimized geometry
data_YScInRu
_chemical_formula_sum 'Y1 Sc1 In1 Ru1'
_space_group_name_H-M_alt 'P 4 m m'
_space_group_IT_number 99
_cell_length_a 3.3845
_cell_length_b 3.3845
_cell_length_c 7.4900
_cell_angle_alpha 90.00
_cell_angle_beta 90.00
_cell_angle_gamma 90.00
loop_
_space_group_symop_operation_xyz
'x,y,z'
'-y,x,z'
'-x,-y,z'
'y,-x,z'
'-x,y,z'
'y,x,z'
'x,-y,z'
'-y,-x,z'
loop_
_atom_site_label
_atom_site_type_symbol
_atom_site_fract_x
_atom_site_fract_y
_atom_site_fract_z
Y1 Y 0.0000 0.0000 0.0000
Sc1 Sc 0.0000 0.0000 0.5740
In1 In 0.5000 0.5000 0.3088
Ru1 Ru 0.5000 0.5000 0.7619
# **Size of the total moment**: 0.000 μB per cell
# **Formation energy**: -0.5095 eV per atom

***

3.
# MnV4Re PBE-GGA optimized geometry
data_MnV4Re
_chemical_formula_sum 'Mn1 V4 Re1'
_space_group_name_H-M_alt 'P 1 2/m 1'
_space_group_IT_number 10
_cell_length_a 4.1922
_cell_length_b 4.1994
_cell_length_c 4.9407
_cell_angle_alpha 90.00
_cell_angle_beta 114.93
_cell_angle_gamma 90.00
loop_
_space_group_symop_operation_xyz
'x,y,z'
'-x,-y,-z'
'-x,y,-z'
'x,-y,z'
loop_
_atom_site_label
_atom_site_type_symbol
_atom_site_fract_x
_atom_site_fract_y
_atom_site_fract_z
Mn1 Mn 0.0000 0.0000 0.0000
V1 V 0.1639 0.5000 0.3282
V2 V 0.3349 0.0000 0.6700
Re1 Re 0.5000 0.5000 0.0000
# **Energy relative to the lowest polymorph listed for this composition**: 0.00 eV/f.u.
# **Size of the total moment**: 0.000 μB per cell
# **Formation energy**: -0.2605 eV per atom

***

4.
# Li3Ni2Ge PBE-GGA optimized geometry
data_Li3Ni2Ge
_chemical_formula_sum 'Li3 Ni2 Ge1'
_space_group_name_H-M_alt 'P 6/m m m'
_space_group_IT_number 191
_space_group_name_Hall '-P 6 2'
_cell_length_a 4.4638
_cell_length_b 4.4638
_cell_length_c 4.3296
_cell_angle_alpha 90.00
_cell_angle_beta 90.00
_cell_angle_gamma 120.00
loop_
_atom_site_label
_atom_site_type_symbol
_atom_site_fract_x
_atom_site_fract_y
_atom_site_fract_z
Li1 Li 0.0000 0.5000 0.0000
Ni1 Ni 0.3333 0.6667 0.5000
Ge1 Ge 0.0000 0.0000 0.5000
# **Size of the total moment**: 0.000 μB per cell
# **Formation energy**: -0.0026 eV per atom

***

Q: Which value of size of the total moment does entry 2 give?
A: 0.000 μB per cell

***

Q: Among the records above, which one has the highest size of the total moment?
A: Tc2PbAuC